(1)
## Nd2TmTl (PBE)

Data for a geometry-optimized Nd2TmTl structure.

POSCAR file:
```
Nd2TmTl
1.0
-0.038 -0.627 -3.498
-2.609 -5.469 1.008
-10.313 5.105 1.002
Nd Tl Tm
4 2 2
Direct
0.990 0.877 0.981
0.861 0.150 0.723
0.010 0.377 0.019
0.139 0.650 0.277
0.391 0.621 0.782
0.609 0.121 0.218
0.226 0.163 0.453
0.774 0.663 0.547
```

Summary:
D(E_F), states/eV per cell: 9.8
Electronic total energy, Ry/atom: -0.308
Symmetry: Cmc2_1
Relative energy among the computed polymorphs, meV/atom: 89

=====

(2)
## LiRh3S (PBE)

Data for a geometry-optimized LiRh3S structure.

POSCAR file:
```
LiRh3S
1.0
4.363 0.000 0.000
0.000 4.363 0.000
0.000 0.000 4.363
S Rh Li
1 3 1
Direct
0.000 0.000 0.000
0.500 0.000 0.000
0.000 0.500 0.000
0.000 0.000 0.500
0.500 0.500 0.500
```

Summary:
D(E_F), states/eV per cell: 3.8
Electronic total energy, Ry/atom: -0.415
Symmetry: Pm-3m
Formation energy from raw total energies, eV/atom: -0.032
Relative energy among the computed polymorphs, meV/atom: 0

=====

(3)
## GaGe2Au2 (PBE)

Data for a geometry-optimized GaGe2Au2 structure.

POSCAR file:
```
GaGe2Au2
1.0
-3.227 -2.123 -0.813
2.190 -2.525 -2.100
0.489 -5.907 3.904
Au Ge Ga
2 2 1
Direct
0.603 0.603 0.794
0.397 0.397 0.206
0.750 0.250 0.500
0.250 0.750 0.500
0.000 0.000 0.000
```

Summary:
D(E_F), states/eV per cell: 1.8
Electronic total energy, Ry/atom: -0.267
Symmetry: I4/mmm
Relative energy among the computed polymorphs, meV/atom: 27

=====

(4)
## CrGa2Ir (PBE)

Data for a geometry-optimized CrGa2Ir structure.

POSCAR file:
```
CrGa2Ir
1.0
-4.345 2.596 4.794
0.775 -5.774 3.829
0.322 -0.449 5.604
Ga Cr Ir
4 2 2
Direct
0.875 0.891 0.750
0.641 0.125 0.250
0.109 0.625 0.250
0.375 0.359 0.750
0.500 0.500 0.000
0.250 0.750 0.500
0.000 0.000 0.000
0.750 0.250 0.500
```

Summary:
D(E_F), states/eV per cell: 5.5
Electronic total energy, Ry/atom: -0.433
Symmetry: I-42d

=====

(5)
## KTl2RhCl8 (PBE)

Data for a geometry-optimized KTl2RhCl8 structure.

POSCAR file:
```
KTl2RhCl8
1.0
6.485 0.042 0.003
0.083 6.312 0.027
0.016 0.057 8.686
K Cl Tl Rh
1 8 2 1
Direct
0.000 0.000 0.500
0.305 0.198 0.003
0.863 0.225 0.193
0.137 0.775 0.807
0.870 0.230 0.805
0.130 0.770 0.195
0.695 0.802 0.997
0.370 0.284 0.500
0.630 0.716 0.500
0.501 0.505 0.237
0.499 0.495 0.763
0.000 0.000 0.000
```

Summary:
D(E_F), states/eV per cell: 6.7
Electronic total energy, Ry/atom: -0.233
Symmetry: P-1
Formation energy from raw total energies, eV/atom: -0.839

=====

(6)
## LaTbMg2 (PBE)

Data for a geometry-optimized LaTbMg2 structure.

POSCAR file:
```
LaTbMg2
1.0
-1.079 2.146 -2.519
-3.277 1.173 -0.002
1.734 10.018 5.385
Mg Tb La
2 1 1
Direct
0.247 0.247 0.258
0.086 0.086 0.742
0.499 0.499 0.503
0.668 0.668 0.997
```

Summary:
D(E_F), states/eV per cell: 5.5
Electronic total energy, Ry/atom: -0.231
Symmetry: R3m
Relative energy among the computed polymorphs, meV/atom: 154

=====

(7)
## LiPr3Ho2S6 (PBE)

Data for a geometry-optimized LiPr3Ho2S6 structure.

POSCAR file:
```
LiPr3Ho2S6
1.0
-1.600 2.844 6.034
-3.463 -5.475 -2.255
6.009 -3.087 1.748
S Li Ho Pr
6 1 2 3
Direct
0.406 0.076 0.229
0.252 0.252 0.774
0.748 0.748 0.226
0.594 0.924 0.771
0.924 0.594 0.771
0.076 0.406 0.229
0.000 0.000 0.000
0.666 0.334 0.000
0.334 0.666 0.000
0.500 0.500 0.500
0.835 0.165 0.500
0.165 0.835 0.500
```

Summary:
D(E_F), states/eV per cell: 4.6
Electronic total energy, Ry/atom: -0.451
Symmetry: C2/m
Formation energy from raw total energies, eV/atom: -1.951

=====

(8)
## Nd3NiBr2 (PBE)

Data for a geometry-optimized Nd3NiBr2 structure.

POSCAR file:
```
Nd3NiBr2
1.0
-3.648 -3.361 5.398
4.034 -6.347 2.088
1.352 1.746 6.979
Nd Ni Br
6 2 4
Direct
0.302 0.199 0.000
0.438 0.798 0.631
0.562 0.202 0.369
0.931 0.202 0.631
0.698 0.801 0.000
0.069 0.798 0.369
0.667 0.000 0.665
0.333 0.000 0.335
0.843 0.500 0.314
0.157 0.500 0.686
0.000 0.000 0.000
0.500 0.500 0.000
```

Summary:
D(E_F), states/eV per cell: 5.1
Electronic total energy, Ry/atom: -0.357
Symmetry: C2/m
Formation energy from raw total energies, eV/atom: -0.947

=====

(9)
## MgTlAg4 (PBE)

Data for a geometry-optimized MgTlAg4 structure.

POSCAR file:
```
MgTlAg4
1.0
0.000 3.959 3.959
3.959 0.000 3.959
3.959 3.959 0.000
Ag Tl Mg
4 1 1
Direct
0.874 0.375 0.375
0.375 0.375 0.375
0.375 0.874 0.375
0.375 0.375 0.874
0.000 0.000 0.000
0.750 0.750 0.750
```

Summary:
D(E_F), states/eV per cell: 1.6
Electronic total energy, Ry/atom: -0.188
Symmetry: F-43m

=====

(10)
## PrEr2InAu4 (PBE)

Data for a geometry-optimized PrEr2InAu4 structure.

POSCAR file:
```
PrEr2InAu4
1.0
-4.052 2.635 -1.107
-2.541 -0.982 -4.143
-7.125 -5.185 2.631
Au Er Pr In
4 2 1 1
Direct
0.615 0.615 0.156
0.385 0.385 0.844
0.120 0.120 0.640
0.880 0.880 0.360
0.239 0.239 0.282
0.761 0.761 0.718
0.000 0.000 0.000
0.500 0.500 0.500
```

Summary:
D(E_F), states/eV per cell: 4.1
Electronic total energy, Ry/atom: -0.327
Symmetry: R-3m

=====

(11)
## MnInNi2 (PBE)

Data for a geometry-optimized MnInNi2 structure.

POSCAR file:
```
MnInNi2
1.0
4.778 -0.011 -0.011
1.849 4.406 0.011
-3.307 -2.208 2.650
In Ni Mn
1 2 1
Direct
0.500 0.500 0.000
0.750 0.250 0.500
0.000 0.000 0.000
0.250 0.750 0.500
```

Summary:
D(E_F), states/eV per cell: 1.6
Electronic total energy, Ry/atom: -0.433
Symmetry: I-4m2

=====

(12)
## NaCNO2 (PBE)

Data for a geometry-optimized NaCNO2 structure.

POSCAR file:
```
NaCNO2
1.0
4.310 0.000 0.000
0.000 4.310 0.000
0.000 0.000 4.504
O N C Na
2 1 1 1
Direct
0.500 0.000 0.000
0.000 0.500 0.000
0.000 0.000 0.500
0.500 0.500 0.500
0.000 0.000 0.000
```

Summary:
D(E_F), states/eV per cell: 4.1
Electronic total energy, Ry/atom: -0.227
Symmetry: P4/mmm
Formation energy from raw total energies, eV/atom: 2.674

=====

Magnetization for every record listed, in sequence, given in μB per atom: 0.000, 0.000, 0.000, 0.812, 0.000, 0.001, 0.000, 0.000, 0.000, 0.000, 1.059, 0.800.